# 1
DFT (PBE) results for crystalline BeSbIr2 at its relaxed geometry.

Output
- Density of states at the Fermi level: 4.50 states/eV/cell
- Uncorrected formation energy: 40 meV per atom
- M_tot: 0.42 μB per formula unit
- Excess energy over the best structure of this formula in the dataset: 8.7 kJ per mole of atoms

Cell and atoms, written as POSCAR:
```
BeSbIr2
1.0
0.0000 3.0977 3.0977
3.0977 0.0000 3.0977
3.0977 3.0977 0.0000
Be Sb Ir
1 1 2
Direct
0.0000 0.0000 0.0000 Be
0.5000 0.5000 0.5000 Sb
0.2500 0.2500 0.2500 Ir
0.7500 0.7500 0.7500 Ir
```


# 2
DFT (PBE) results for crystalline Be2SbIr2 at its relaxed geometry.

Output
- Density of states at the Fermi level: 6.21 states/eV/cell
- Uncorrected formation energy: -72 meV per atom
- M_tot: 0.00 μB per formula unit
- Excess energy over the best structure of this formula in the dataset: 7.1 kJ per mole of atoms

Cell and atoms, written as POSCAR:
```
Be2SbIr2
1.0
6.8193 0.0000 0.0000
0.0000 6.8193 0.0000
0.0000 0.0000 2.9077
Be Sb Ir
4 2 4
Direct
0.1191 0.3809 0.0000 Be
0.3809 0.8809 0.0000 Be
0.6191 0.1191 0.0000 Be
0.8809 0.6191 0.0000 Be
0.0000 0.0000 0.0000 Sb
0.5000 0.5000 0.0000 Sb
0.1634 0.6634 0.5000 Ir
0.3366 0.1634 0.5000 Ir
0.6634 0.8366 0.5000 Ir
0.8366 0.3366 0.5000 Ir
```


# 3
DFT (PBE) results for crystalline BeSbIr2 at its relaxed geometry.

Output
- Density of states at the Fermi level: 2.51 states/eV/cell
- Uncorrected formation energy: -37 meV per atom
- M_tot: 0.00 μB per formula unit
- Excess energy over the best structure of this formula in the dataset: 1.2 kJ per mole of atoms

Cell and atoms, written as POSCAR:
```
BeSbIr2
1.0
2.9286 0.0000 0.0000
0.0000 3.6270 0.0000
0.0000 0.0000 5.8394
Be Sb Ir
1 1 2
Direct
0.0000 0.0000 0.0000 Be
0.5000 0.5000 0.6286 Sb
0.0000 0.0000 0.3994 Ir
0.5000 0.5000 0.0750 Ir
```


# 4
DFT (PBE) results for crystalline Be2SbIr at its relaxed geometry.

Output
- Density of states at the Fermi level: 0.94 states/eV/cell
- Uncorrected formation energy: -63 meV per atom
- M_tot: 0.00 μB per formula unit

Cell and atoms, written as POSCAR:
```
Be2SbIr
1.0
2.8870 0.0000 0.0000
0.0000 3.6722 0.0000
-1.2040 0.0000 5.7556
Be Sb Ir
2 1 1
Direct
0.0000 0.0000 0.0000 Be
0.0934 0.5000 0.2317 Be
0.8110 0.5000 0.6731 Sb
0.6274 0.0000 0.3005 Ir
```


# 5
DFT (PBE) results for crystalline BeSbIr2 at its relaxed geometry.

Output
- Density of states at the Fermi level: 1.36 states/eV/cell
- Uncorrected formation energy: 115 meV per atom
- M_tot: 0.00 μB per formula unit
- Excess energy over the best structure of this formula in the dataset: 15.9 kJ per mole of atoms

Cell and atoms, written as POSCAR:
```
BeSbIr2
1.0
1.5108 0.8723 7.6061
-1.5108 0.8723 7.6061
0.0000 -1.7445 7.6061
Be Sb Ir
1 1 2
Direct
0.0000 0.0000 0.0000 Be
0.5000 0.5000 0.5000 Sb
0.2636 0.2636 0.2636 Ir
0.7364 0.7364 0.7364 Ir
```


# 6
DFT (PBE) results for crystalline Be2SbIr at its relaxed geometry.

Output
- Density of states at the Fermi level: 0.36 states/eV/cell
- Uncorrected formation energy: -59 meV per atom
- M_tot: 0.00 μB per formula unit

Cell and atoms, written as POSCAR:
```
Be2SbIr
1.0
2.9329 0.0000 0.0000
0.0000 2.9329 0.0000
0.0000 0.0000 6.9798
Be Sb Ir
2 1 1
Direct
0.0000 0.0000 0.1629 Be
0.0000 0.0000 0.8371 Be
0.5000 0.5000 0.5000 Sb
0.5000 0.5000 0.0000 Ir
```


# 7
DFT (PBE) results for crystalline BeSb3Ir at its relaxed geometry.

Output
- Density of states at the Fermi level: 4.28 states/eV/cell
- Uncorrected formation energy: 958 meV per atom
- M_tot: 0.00 μB per formula unit
- Excess energy over the best structure of this formula in the dataset: 10.7 kJ per mole of atoms

Cell and atoms, written as POSCAR:
```
BeSb3Ir
1.0
5.2023 0.0000 0.0000
0.0000 5.2023 0.0000
0.0000 0.0000 5.2023
Be Sb Ir
1 3 1
Direct
0.0000 0.0000 0.0000 Be
0.0000 0.5000 0.5000 Sb
0.5000 0.0000 0.5000 Sb
0.5000 0.5000 0.0000 Sb
0.5000 0.5000 0.5000 Ir
```


# 8
DFT (PBE) results for crystalline BeSbIr2 at its relaxed geometry.

Output
- Density of states at the Fermi level: 1.03 states/eV/cell
- Uncorrected formation energy: -46 meV per atom
- M_tot: 0.00 μB per formula unit
- Excess energy over the best structure of this formula in the dataset: 0.4 kJ per mole of atoms

Cell and atoms, written as POSCAR:
```
BeSbIr2
1.0
-2.0550 2.0550 3.4920
2.0550 -2.0550 3.4920
2.0550 2.0550 -3.4920
Be Sb Ir
1 1 2
Direct
0.0000 0.0000 0.0000 Be
0.5000 0.5000 0.0000 Sb
0.2500 0.7500 0.5000 Ir
0.7500 0.2500 0.5000 Ir
```